Record 1
This record from the Alexandria database describes crystalline H12Pt5Pb3 at its relaxed geometry. The functional is PBE-GGA. Values from VASP.

## Properties
Space group   Ia-3d, No. 230
Density of states at the Fermi level   0.290 states/eV/atom
VASP energy   -317.87 eV for the cell shown

Structure (Quantum ESPRESSO input):
```
&SYSTEM
  ibrav = 0, nat = 80, ntyp = 3
/
ATOMIC_SPECIES
H 1.01 H.upf
Pt 195.08 Pt.upf
Pb 207.20 Pb.upf
CELL_PARAMETERS angstrom
-6.1460 6.1460 6.1460
6.1460 -6.1460 6.1460
6.1460 6.1460 -6.1460
ATOMIC_POSITIONS angstrom
H 4.7050 -3.4780 3.7386
H 10.6599 0.6656 -0.4050
H 8.8139 2.4074 -1.4410
H 6.5509 -4.5140 5.4803
H 7.7779 0.6656 0.4050
H 7.5869 -2.6680 3.7386
H 3.7386 4.7050 -3.4780
H 5.4803 -0.4050 1.6320
H 5.4803 6.5509 -4.5140
H 3.7386 -1.4410 3.4780
H 3.4780 3.7386 -1.4410
H 5.7410 1.6320 0.6656
H 9.6239 2.4074 1.4410
H 5.7410 -1.6320 5.4803
H 5.4803 5.7410 -1.6320
H 3.7386 1.4410 2.6680
H 3.7386 7.5869 -2.6680
H 5.4803 0.4050 4.5140
H 1.6320 5.4803 -0.4050
H 7.5869 2.6680 2.4074
H 2.6680 3.7386 1.4410
H 6.5509 4.5140 0.6656
H 4.5140 5.4803 0.4050
H 4.7050 3.4780 2.4074
H 1.4410 2.6680 3.7386
H 1.6320 0.6656 5.7410
H -0.4050 1.6320 5.4803
H 3.4780 2.4074 4.7050
H -1.4410 3.4780 3.7386
H 4.5140 0.6656 6.5509
H 0.6656 5.7410 1.6320
H 2.4074 -1.4410 8.8139
H 2.4074 4.7050 3.4780
H 0.6656 0.4050 7.7779
H 0.4050 7.7779 0.6656
H -3.4780 3.7386 4.7050
H 0.4050 4.5140 5.4803
H 2.6680 2.4074 7.5869
H 2.4074 7.5869 2.6680
H 0.6656 -0.4050 10.6599
H 0.6656 6.5509 4.5140
H 2.4074 1.4410 9.6239
H -1.4410 8.8139 2.4074
H -1.6320 5.4803 5.7410
H -0.4050 10.6599 0.6656
H -2.6680 3.7386 7.5869
H -4.5140 5.4803 6.5509
H 1.4410 9.6239 2.4074
Pt 0.0000 0.0000 0.0000
Pt 3.0730 3.0730 -3.0730
Pt 3.0730 -3.0730 3.0730
Pt 6.1460 0.0000 0.0000
Pt 9.2189 1.5365 0.0000
Pt 6.1460 -3.0730 4.6095
Pt 4.6095 6.1460 -3.0730
Pt 4.6095 0.0000 3.0730
Pt 3.0730 4.6095 0.0000
Pt 6.1460 3.0730 1.5365
Pt -3.0730 3.0730 3.0730
Pt 0.0000 6.1460 0.0000
Pt 0.0000 0.0000 6.1460
Pt 3.0730 3.0730 3.0730
Pt 0.0000 3.0730 4.6095
Pt 3.0730 1.5365 6.1460
Pt 1.5365 6.1460 3.0730
Pt 1.5365 0.0000 9.2189
Pt 0.0000 9.2189 1.5365
Pt -3.0730 4.6095 6.1460
Pb 3.0730 1.5365 0.0000
Pb 6.1460 3.0730 -1.5365
Pb 1.5365 0.0000 3.0730
Pb 7.6824 0.0000 3.0730
Pb 0.0000 3.0730 1.5365
Pb 3.0730 -1.5365 6.1460
Pb 3.0730 7.6824 0.0000
Pb 6.1460 3.0730 4.6095
Pb -1.5365 6.1460 3.0730
Pb 4.6095 6.1460 3.0730
Pb 0.0000 3.0730 7.6824
Pb 3.0730 4.6095 6.1460
```


Record 2
This record from the Alexandria database describes crystalline H2Pt2Pb at its relaxed geometry. The functional is PBE-GGA. Values from VASP.

## Properties
Energy above the most stable polymorph in this dataset   0.442 eV per atom
Space group   P4/mbm, No. 127
Density of states at the Fermi level   0.632 states/eV/atom

Structure (Quantum ESPRESSO input):
```
&SYSTEM
  ibrav = 0, nat = 10, ntyp = 3
/
ATOMIC_SPECIES
H 1.01 H.upf
Pt 195.08 Pt.upf
Pb 207.20 Pb.upf
CELL_PARAMETERS angstrom
6.8627 0.0000 0.0000
0.0000 6.8627 0.0000
0.0000 0.0000 2.9402
ATOMIC_POSITIONS angstrom
H 0.3895 3.0418 0.0000
H 3.0418 6.4731 0.0000
H 3.8209 0.3895 0.0000
H 6.4731 3.8209 0.0000
Pt 0.9743 4.4056 1.4701
Pt 2.4570 0.9743 1.4701
Pt 4.4056 5.8884 1.4701
Pt 5.8884 2.4570 1.4701
Pb 0.0000 0.0000 0.0000
Pb 3.4313 3.4313 0.0000
```


Record 3
This record from the Alexandria database describes crystalline H4Pt3Pb2 at its relaxed geometry. The functional is PBE-GGA. Values from VASP.

## Properties
Space group   Fmmm, No. 69
Density of states at the Fermi level   0.333 states/eV/atom
VASP energy   -38.82 eV for the cell shown

Structure (Quantum ESPRESSO input):
```
&SYSTEM
  ibrav = 0, nat = 9, ntyp = 3
/
ATOMIC_SPECIES
H 1.01 H.upf
Pt 195.08 Pt.upf
Pb 207.20 Pb.upf
CELL_PARAMETERS angstrom
0.0000 4.9472 5.2647
2.6671 0.0000 5.2647
2.6671 4.9472 0.0000
ATOMIC_POSITIONS angstrom
H 2.6671 2.2473 4.1064
H 2.6671 2.2473 6.4230
H 2.6671 7.6470 4.1064
H 2.6671 7.6470 6.4230
Pt 0.0000 0.0000 0.0000
Pt 1.3336 2.4736 0.0000
Pt 1.3336 2.4736 5.2647
Pb 2.6671 4.9472 3.6545
Pb 2.6671 4.9472 6.8749
```


Record 4
This record from the Alexandria database describes crystalline H7Pt4Pb at its relaxed geometry. The functional is PBE-GGA. Values from VASP.

## Properties
Space group   Pmn2_1, No. 31
Density of states at the Fermi level   0.094 states/eV/atom
VASP energy   -101.28 eV for the cell shown

Structure (Quantum ESPRESSO input):
```
&SYSTEM
  ibrav = 0, nat = 24, ntyp = 3
/
ATOMIC_SPECIES
H 1.01 H.upf
Pt 195.08 Pt.upf
Pb 207.20 Pb.upf
CELL_PARAMETERS angstrom
11.0311 0.0000 0.0000
0.0000 5.2394 0.0000
0.0000 0.0000 4.5655
ATOMIC_POSITIONS angstrom
H 0.0000 0.8789 0.0000
H 1.0116 1.6002 1.8827
H 1.8042 4.0918 4.5452
H 2.7137 1.6399 0.1486
H 2.8018 3.5995 2.4314
H 3.7113 1.1477 2.2624
H 4.5039 3.6392 4.1655
H 5.5155 4.3605 2.2828
H 6.5272 3.6392 4.1655
H 7.3197 1.1477 2.2624
H 8.2293 3.5995 2.4314
H 8.3173 1.6399 0.1486
H 9.2269 4.0918 4.5452
H 10.0194 1.6002 1.8827
Pt 1.4899 0.3409 0.7161
Pt 2.2361 1.9753 2.9904
Pt 3.2794 3.2642 0.7076
Pt 4.0257 4.8985 2.9988
Pt 7.0054 4.8985 2.9988
Pt 7.7516 3.2642 0.7076
Pt 8.7950 1.9753 2.9904
Pt 9.5412 0.3409 0.7161
Pb 0.0000 4.0145 2.8332
Pb 5.5155 1.2249 0.5505
```


Record 5
This record from the Alexandria database describes crystalline H3Pt3Pb at its relaxed geometry. The functional is PBE-GGA. Values from VASP.

## Properties
Space group   R-3, No. 148
Density of states at the Fermi level   0.164 states/eV/atom
VASP energy   -64.24 eV for the cell shown

Structure (Quantum ESPRESSO input):
```
&SYSTEM
  ibrav = 0, nat = 14, ntyp = 3
/
ATOMIC_SPECIES
H 1.01 H.upf
Pt 195.08 Pt.upf
Pb 207.20 Pb.upf
CELL_PARAMETERS angstrom
4.7281 2.7298 2.3444
-4.7281 2.7298 2.3444
0.0000 -5.4595 2.3444
ATOMIC_POSITIONS angstrom
H -1.6090 -1.8541 3.6913
H -2.4102 0.4664 3.3420
H 0.8012 -2.3205 3.3420
H -0.8012 2.3205 3.6913
H 2.4102 -0.4664 3.6913
H 1.6090 1.8541 3.3420
Pt -0.6448 -2.7053 2.4122
Pt -2.0204 1.9110 2.4122
Pt -2.6652 -0.7942 4.6211
Pt 2.6652 0.7942 2.4122
Pt 2.0204 -1.9110 4.6211
Pt 0.6448 2.7053 4.6211
Pb 0.0000 0.0000 1.6569
Pb 0.0000 0.0000 5.3764
```


Record 6
This record from the Alexandria database describes crystalline HPt6Pb2 at its relaxed geometry. The functional is PBE-GGA. Values from VASP.

## Properties
Space group   C2/m, No. 12
Density of states at the Fermi level   0.754 states/eV/atom
VASP energy   -47.07 eV for the cell shown

Structure (Quantum ESPRESSO input):
```
&SYSTEM
  ibrav = 0, nat = 9, ntyp = 3
/
ATOMIC_SPECIES
H 1.01 H.upf
Pt 195.08 Pt.upf
Pb 207.20 Pb.upf
CELL_PARAMETERS angstrom
4.4303 -2.8525 0.0000
4.4303 2.8525 0.0000
-0.1641 0.0000 6.1004
ATOMIC_POSITIONS angstrom
H 0.0000 0.0000 0.0000
Pt 0.9264 0.0000 4.6730
Pt 3.2295 1.3541 3.8902
Pt 5.4669 1.3541 2.2102
Pt 3.2295 -1.3541 3.8902
Pt 5.4669 -1.3541 2.2102
Pt 7.7700 0.0000 1.4275
Pb 3.0357 0.0000 0.8293
Pb 5.6607 0.0000 5.2712
```


Record 7
This record from the Alexandria database describes crystalline H4PtPb at its relaxed geometry. The functional is PBE-GGA. Values from VASP.

## Properties
Space group   Immm, No. 71
Density of states at the Fermi level   0.074 states/eV/atom
VASP energy   -45.88 eV for the cell shown

Structure (Quantum ESPRESSO input):
```
&SYSTEM
  ibrav = 0, nat = 12, ntyp = 3
/
ATOMIC_SPECIES
H 1.01 H.upf
Pt 195.08 Pt.upf
Pb 207.20 Pb.upf
CELL_PARAMETERS angstrom
4.2168 0.0000 0.0000
0.0000 4.5952 0.0000
0.0000 0.0000 7.2153
ATOMIC_POSITIONS angstrom
H 0.0000 1.1290 1.2104
H 0.0000 1.1290 6.0049
H 0.0000 3.4663 1.2104
H 0.0000 3.4663 6.0049
H 2.1084 1.1687 2.3973
H 2.1084 1.1687 4.8180
H 2.1084 3.4266 2.3973
H 2.1084 3.4266 4.8180
Pt 0.0000 0.0000 0.0000
Pt 2.1084 2.2976 3.6076
Pb 0.0000 0.0000 3.6076
Pb 2.1084 2.2976 0.0000
```


Record 8
This record from the Alexandria database describes crystalline H2Pt3Pb2 at its relaxed geometry. The functional is PBE-GGA. Values from VASP.

## Properties
Space group   P-1, No. 2
Density of states at the Fermi level   0.360 states/eV/atom
VASP energy   -32.67 eV for the cell shown

Structure (Quantum ESPRESSO input):
```
&SYSTEM
  ibrav = 0, nat = 7, ntyp = 3
/
ATOMIC_SPECIES
H 1.01 H.upf
Pt 195.08 Pt.upf
Pb 207.20 Pb.upf
CELL_PARAMETERS angstrom
3.7667 0.0000 0.0000
1.8828 5.4219 0.0000
0.0303 0.3214 5.7575
ATOMIC_POSITIONS angstrom
H 0.9480 1.6430 1.5012
H 4.7318 4.1002 4.2563
Pt 0.9565 2.8716 2.8787
Pt 2.8433 4.4142 4.2260
Pt 2.8365 1.3291 1.5315
Pb 2.8386 4.4503 1.2466
Pb 2.8412 1.2930 4.5109
```


Record 9
This record from the Alexandria database describes crystalline H2Pt2Pb at its relaxed geometry. The functional is PBE-GGA. Values from VASP.

## Properties
Energy above the most stable polymorph in this dataset   0.119 eV per atom
Space group   I4/mmm, No. 139
Density of states at the Fermi level   0.445 states/eV/atom

Structure (Quantum ESPRESSO input):
```
&SYSTEM
  ibrav = 0, nat = 10, ntyp = 3
/
ATOMIC_SPECIES
H 1.01 H.upf
Pt 195.08 Pt.upf
Pb 207.20 Pb.upf
CELL_PARAMETERS angstrom
3.6879 0.0000 0.0000
0.0000 3.6879 0.0000
0.0000 0.0000 9.6257
ATOMIC_POSITIONS angstrom
H 0.0000 1.8439 2.4064
H 0.0000 1.8439 7.2192
H 1.8439 0.0000 2.4064
H 1.8439 0.0000 7.2192
Pt 0.0000 0.0000 1.6737
Pt 0.0000 0.0000 7.9520
Pt 1.8439 1.8439 3.1392
Pt 1.8439 1.8439 6.4865
Pb 0.0000 0.0000 4.8128
Pb 1.8439 1.8439 0.0000
```


> Which of these has the highest density of states at the Fermi level?

HPt6Pb2


Copy entry 7 word for word.
This record from the Alexandria database describes crystalline H4PtPb at its relaxed geometry. The functional is PBE-GGA. Values from VASP.

## Properties
Space group   Immm, No. 71
Density of states at the Fermi level   0.074 states/eV/atom
VASP energy   -45.88 eV for the cell shown

Structure (Quantum ESPRESSO input):
```
&SYSTEM
  ibrav = 0, nat = 12, ntyp = 3
/
ATOMIC_SPECIES
H 1.01 H.upf
Pt 195.08 Pt.upf
Pb 207.20 Pb.upf
CELL_PARAMETERS angstrom
4.2168 0.0000 0.0000
0.0000 4.5952 0.0000
0.0000 0.0000 7.2153
ATOMIC_POSITIONS angstrom
H 0.0000 1.1290 1.2104
H 0.0000 1.1290 6.0049
H 0.0000 3.4663 1.2104
H 0.0000 3.4663 6.0049
H 2.1084 1.1687 2.3973
H 2.1084 1.1687 4.8180
H 2.1084 3.4266 2.3973
H 2.1084 3.4266 4.8180
Pt 0.0000 0.0000 0.0000
Pt 2.1084 2.2976 3.6076
Pb 0.0000 0.0000 3.6076
Pb 2.1084 2.2976 0.0000
```


> Which value of density of states at the Fermi level does entry 2 give?

0.632 states/eV/atom


> density of states at the Fermi level of number 9 (H2Pt2Pb)?

0.445 states/eV/atom